[1]
TiMoP3O12 | SCAN | PBEsol geometry

## Properties
Total magnetization: 2.00 Bohr magnetons per cell
Energy relative to the elements, uncorrected: -2529 meV/atom
Mass density: 3.05 g/cm³

```
TiMoP3O12
1.0
8.602 0.000 0.000
4.301 7.450 0.000
4.301 2.483 7.278
O P Ti Mo
24 6 2 2
Direct
0.224 0.995 0.422
0.788 0.559 0.228
0.724 0.859 0.922
0.438 0.576 0.775
0.576 0.211 0.775
0.639 0.779 0.579
0.502 0.279 0.079
0.925 0.059 0.728
0.425 0.788 0.228
0.288 0.925 0.728
0.059 0.288 0.728
0.495 0.724 0.922
0.279 0.139 0.079
0.211 0.438 0.775
0.938 0.711 0.275
0.076 0.938 0.275
0.859 0.495 0.922
0.779 0.002 0.579
0.002 0.639 0.579
0.711 0.076 0.275
0.359 0.224 0.422
0.995 0.359 0.422
0.139 0.502 0.079
0.559 0.425 0.228
0.034 0.470 0.748
0.248 0.970 0.248
0.748 0.034 0.748
0.970 0.534 0.248
0.470 0.748 0.748
0.534 0.248 0.248
0.359 0.359 0.922
0.859 0.859 0.422
0.641 0.641 0.077
0.141 0.141 0.577
```

[2]
TiZnMoP3O12 | SCAN | PBEsol geometry

## Properties
Total magnetization: 6.00 Bohr magnetons per cell
Energy relative to the elements, uncorrected: -2419 meV/atom
Mass density: 3.67 g/cm³

```
TiZnMoP3O12
1.0
8.534 -0.025 -0.018
4.187 7.436 -0.018
4.187 2.439 7.024
O P Ti Zn Mo
24 6 2 2 2
Direct
0.117 0.316 0.499
0.258 0.063 0.903
0.445 0.245 0.587
0.758 0.403 0.563
0.394 0.999 0.177
0.999 0.816 0.617
0.499 0.894 0.677
0.245 0.587 0.445
0.177 0.394 0.999
0.677 0.499 0.894
0.316 0.499 0.117
0.945 0.087 0.745
0.745 0.945 0.087
0.999 0.177 0.394
0.894 0.677 0.499
0.563 0.758 0.403
0.617 0.999 0.816
0.587 0.445 0.245
0.903 0.258 0.063
0.816 0.617 0.999
0.499 0.117 0.316
0.087 0.745 0.945
0.403 0.563 0.758
0.063 0.903 0.258
0.246 0.548 0.957
0.048 0.746 0.457
0.548 0.957 0.246
0.457 0.048 0.746
0.746 0.457 0.048
0.957 0.246 0.548
0.856 0.856 0.856
0.356 0.356 0.356
0.499 0.499 0.499
0.999 0.999 0.999
0.141 0.141 0.141
0.641 0.641 0.641
```

[3]
Tl2Mo2P2O11 | SCAN | PBEsol geometry

## Properties
Total magnetization: 0.07 Bohr magnetons per cell
Energy relative to the elements, uncorrected: -2099 meV/atom
Mass density: 5.62 g/cm³

```
Tl2Mo2P2O11
1.0
-1.519 5.381 8.281
-5.170 -7.961 2.692
8.344 -4.018 4.142
O Tl P Mo
44 8 8 8
Direct
0.026 0.032 0.021
0.423 0.723 0.061
0.024 0.240 0.589
0.530 0.471 0.005
0.782 0.572 0.144
0.721 0.428 0.851
0.421 0.932 0.219
0.923 0.723 0.439
0.826 0.285 0.056
0.579 0.068 0.719
0.079 0.067 0.782
0.025 0.471 0.492
0.279 0.572 0.351
0.174 0.715 0.556
0.470 0.529 0.505
0.975 0.529 0.992
0.475 0.758 0.409
0.577 0.277 0.561
0.328 0.923 0.759
0.738 0.869 0.449
0.826 0.921 0.740
0.984 0.441 0.736
0.238 0.868 0.052
0.648 0.807 0.194
0.329 0.282 0.444
0.174 0.079 0.240
0.921 0.933 0.282
0.976 0.760 0.089
0.762 0.132 0.552
0.854 0.191 0.808
0.526 0.031 0.480
0.525 0.242 0.909
0.671 0.718 0.944
0.474 0.969 0.980
0.016 0.559 0.236
0.146 0.809 0.308
0.262 0.131 0.949
0.218 0.428 0.644
0.509 0.558 0.258
0.974 0.968 0.521
0.352 0.193 0.694
0.491 0.442 0.758
0.672 0.077 0.259
0.077 0.277 0.939
0.066 0.768 0.822
0.454 0.225 0.183
0.934 0.232 0.322
0.546 0.775 0.683
0.248 0.485 0.087
0.752 0.515 0.587
0.249 0.002 0.500
0.751 0.998 0.000
0.935 0.606 0.118
0.891 0.872 0.421
0.065 0.394 0.618
0.433 0.605 0.379
0.567 0.395 0.879
0.609 0.129 0.579
0.109 0.128 0.921
0.391 0.871 0.079
0.599 0.925 0.322
0.110 0.654 0.411
0.614 0.652 0.090
0.386 0.348 0.590
0.099 0.927 0.179
0.890 0.346 0.911
0.401 0.075 0.822
0.901 0.073 0.679
```

Q: What is the mass density in the third record?
A: 5.62 g/cm³

Q: Which formula does entry 1 have?
A: TiMoP3O12

Q: Number 3 is which compound?
A: Tl2Mo2P2O11